--- A ---
# BaSc4 PBE optimized geometry
# size of the total moment: 1.21 μB/cell
# SG: Im-3m (229)
data_BaSc4
_cell_length_a 5.906
_cell_length_b 5.906
_cell_length_c 5.906
_cell_angle_alpha 109.47
_cell_angle_beta 109.47
_cell_angle_gamma 109.47
_space_group_name_H-M_alt 'P 1'
_space_group_IT_number 1
loop_
_space_group_symop_operation_xyz
'x,y,z'
loop_
_atom_site_label
_atom_site_fract_x
_atom_site_fract_y
_atom_site_fract_z
Ba1 0.000 0.000 0.000
Sc1 0.500 0.000 0.000
Sc2 0.500 0.500 0.500
Sc3 0.000 0.500 0.000
Sc4 0.000 0.000 0.500

--- B ---
# BaSc4 PBE optimized geometry
# size of the total moment: 0.00 μB/cell
# SG: Pm-3m (221)
data_BaSc4
_cell_length_a 5.302
_cell_length_b 5.302
_cell_length_c 5.302
_cell_angle_alpha 90.00
_cell_angle_beta 90.00
_cell_angle_gamma 90.00
_space_group_name_H-M_alt 'P 1'
_space_group_IT_number 1
loop_
_space_group_symop_operation_xyz
'x,y,z'
loop_
_atom_site_label
_atom_site_fract_x
_atom_site_fract_y
_atom_site_fract_z
Sc1 0.000 0.000 0.000
Sc2 0.500 0.000 0.500
Sc3 0.000 0.500 0.500
Sc4 0.500 0.500 0.000
Ba1 0.500 0.500 0.500

--- C ---
# BaSc4 PBE optimized geometry
# size of the total moment: 0.00 μB/cell
# SG: I4/m (87)
data_BaSc4
_cell_length_a 6.629
_cell_length_b 6.629
_cell_length_c 6.629
_cell_angle_alpha 94.28
_cell_angle_beta 94.28
_cell_angle_gamma 148.28
_space_group_name_H-M_alt 'P 1'
_space_group_IT_number 1
loop_
_space_group_symop_operation_xyz
'x,y,z'
loop_
_atom_site_label
_atom_site_fract_x
_atom_site_fract_y
_atom_site_fract_z
Ba1 0.000 0.000 0.000
Sc1 0.158 0.626 0.783
Sc2 0.626 0.842 0.468
Sc3 0.842 0.374 0.217
Sc4 0.374 0.158 0.532

The energetic minimum among the shown structures is C; the next structure lies 851 meV per atom above.